No. 1
Material: Mg2Ag2Br
Method: DFT, PBE-GGA
State: optimized geometry

Values from the calculation:
Formation energy from raw total energies   -0.154 eV per atom
D(E_F)   0.454 states/eV/atom

a b c (Å): 8.0466 8.0466 3.3545
angles (deg): 90.00 90.00 90.00
Closest atoms and distances in Å follow each position.
Fractional positions:
Br  0.0000  0.0000  0.0000  4 Ag 3.19, 2 Br 3.35, 8 Mg 3.42
Br  0.5000  0.5000  0.0000  4 Ag 3.19, 2 Br 3.35, 8 Mg 3.42
Mg  0.6730  0.8270  0.5000  6 Ag 2.86-2.94
Mg  0.3270  0.1730  0.5000  6 Ag 2.86-2.94
Mg  0.8270  0.3270  0.5000  6 Ag 2.86-2.94
Mg  0.1730  0.6730  0.5000  6 Ag 2.86-2.94
Ag  0.3767  0.8767  0.0000  1 Ag 2.81, 6 Mg 2.86-2.94
Ag  0.8767  0.6233  0.0000  1 Ag 2.81, 6 Mg 2.86-2.94
Ag  0.1233  0.3767  0.0000  1 Ag 2.81, 6 Mg 2.86-2.94
Ag  0.6233  0.1233  0.0000  1 Ag 2.81, 6 Mg 2.86-2.94

No. 2
Material: MgAgBr2
Method: DFT, PBE-GGA
State: optimized geometry

Values from the calculation:
Formation energy from raw total energies   -0.365 eV per atom
D(E_F)   0.415 states/eV/atom

a b c (Å): 7.2543 7.2543 7.2543
angles (deg): 147.75 147.75 46.26
Closest atoms and distances in Å follow each position.
Fractional positions:
Ag  0.7500  0.2500  0.5000  4 Br 2.85
Br  0.0000  0.0000  0.0000  4 Mg 2.85
Br  0.2500  0.7500  0.5000  4 Ag 2.85
Mg  0.5000  0.5000  0.0000  4 Br 2.85

Which of these has the lowest D(E_F)?
MgAgBr2

Which formula does entry 1 have?
Mg2Ag2Br